Version P
A plane-wave DFT calculation with PBE was carried out for crystalline TaHgAs at its relaxed geometry.

Cell lengths 3.1353, 3.1353, 7.1245 Å; angles 90.00, 90.00, 120.00 degrees
Fractional coordinates of all 3 atoms:
As (0.0000, 0.0000, 0.9647)
Hg (0.6667, 0.3333, 0.3472)
Ta (0.3333, 0.6667, 0.6882)

The calculated density is 12.50 g cm⁻³. The value obtained for the volume is 60.65 Å³ per cell.

Version Q
A plane-wave DFT calculation with PBE was carried out for crystalline TaHgAs at its relaxed geometry.

Cell lengths 4.3979, 4.3979, 3.7140 Å; angles 90.00, 90.00, 120.00 degrees
Fractional coordinates of all 3 atoms:
As (0.0000, 0.0000, 0.8332)
Hg (0.6667, 0.3333, 0.3333)
Ta (0.3333, 0.6667, 0.8335)

The calculated density is 12.18 g cm⁻³. The value obtained for the volume is 62.21 Å³ per cell.

Which structure is most stable? version P, by 111 meV per atom over the runner-up.

Version P
A plane-wave DFT calculation with PBE was carried out for crystalline Ta2HgAs at its relaxed geometry.

Cell lengths 4.7835, 4.7835, 3.1469 Å; angles 90.00, 90.00, 92.76 degrees
Fractional coordinates of all 4 atoms:
As (0.5000, 0.0000, 0.5000)
Hg (0.0000, 0.5000, 0.5000)
Ta (0.0000, 0.0000, 0.0000)
Ta (0.5000, 0.5000, 0.0000)

The calculated density is 14.72 g cm⁻³. The value obtained for the volume is 71.92 Å³ per cell.

Version Q
A plane-wave DFT calculation with PBE was carried out for crystalline Ta2HgAs at its relaxed geometry.

Cell lengths 4.8660, 2.9430, 5.4295 Å; angles 77.98, 90.00, 90.00 degrees
Fractional coordinates of all 4 atoms:
As (0.0000, 0.3304, 0.4592)
Hg (0.5000, 0.7165, 0.7552)
Ta (0.0000, 0.0910, 0.0144)
Ta (0.5000, 0.3621, 0.2713)

The calculated density is 13.92 g cm⁻³. The value obtained for the volume is 76.05 Å³ per cell.

Which structure is most stable? version Q, by 68 meV per atom over the runner-up.

Version P
A plane-wave DFT calculation with PBE was carried out for crystalline Ta2HgAs at its relaxed geometry.

Cell lengths 4.1333, 2.9963, 6.1056 Å; angles 74.71, 90.00, 90.00 degrees
Fractional coordinates of all 4 atoms:
As (0.5000, 0.2500, 0.2500)
Hg (0.5000, 0.7500, 0.7500)
Ta (0.0000, 0.0708, 0.0190)
Ta (0.0000, 0.4292, 0.4810)

The calculated density is 14.51 g cm⁻³. The value obtained for the volume is 72.94 Å³ per cell.

Version Q
A plane-wave DFT calculation with PBE was carried out for crystalline Ta2HgAs at its relaxed geometry.

Cell lengths 3.0189, 3.0189, 8.4244 Å; angles 90.00, 90.00, 106.15 degrees
Fractional coordinates of all 4 atoms:
As (0.5000, 0.5000, 0.2500)
Hg (0.5000, 0.5000, 0.7500)
Ta (0.0000, 0.0000, 0.0270)
Ta (0.0000, 0.0000, 0.4730)

The calculated density is 14.35 g cm⁻³. The value obtained for the volume is 73.75 Å³ per cell.

Which structure is most stable? version P, by 34 meV per atom over the runner-up.

Version P
A plane-wave DFT calculation with PBE was carried out for crystalline TaHgAs3 at its relaxed geometry.

Cell lengths 5.0076, 5.0076, 5.0076 Å; angles 90.00, 90.00, 90.00 degrees
Fractional coordinates of all 5 atoms:
As (0.0000, 0.5000, 0.0000)
As (0.0000, 0.0000, 0.5000)
As (0.5000, 0.0000, 0.0000)
Hg (0.0000, 0.0000, 0.0000)
Ta (0.5000, 0.5000, 0.5000)

The calculated density is 8.02 g cm⁻³. The value obtained for the volume is 125.57 Å³ per cell.

Version Q
A plane-wave DFT calculation with PBE was carried out for crystalline TaHgAs3 at its relaxed geometry.

Cell lengths 5.0288, 5.0288, 5.0288 Å; angles 90.00, 90.00, 90.00 degrees
Fractional coordinates of all 5 atoms:
As (0.0000, 0.5000, 0.0000)
As (0.0000, 0.0000, 0.5000)
As (0.5000, 0.0000, 0.0000)
Hg (0.5000, 0.5000, 0.5000)
Ta (0.0000, 0.0000, 0.0000)

The calculated density is 7.92 g cm⁻³. The value obtained for the volume is 127.18 Å³ per cell.

Which structure is most stable? version Q, by 1353 meV per atom over the runner-up.

Version P
A plane-wave DFT calculation with PBE was carried out for crystalline TcHg3As at its relaxed geometry.

Cell lengths 5.2770, 5.2770, 5.2770 Å; angles 90.00, 90.00, 90.00 degrees
Fractional coordinates of all 5 atoms:
As (0.5000, 0.5000, 0.5000)
Hg (0.0000, 0.5000, 0.0000)
Hg (0.0000, 0.0000, 0.5000)
Hg (0.5000, 0.0000, 0.0000)
Tc (0.0000, 0.0000, 0.0000)

The calculated density is 8.75 g cm⁻³. The value obtained for the volume is 146.95 Å³ per cell.

Version Q
A plane-wave DFT calculation with PBE was carried out for crystalline TcHg3As at its relaxed geometry.

Cell lengths 5.2646, 5.2646, 5.2646 Å; angles 90.00, 90.00, 90.00 degrees
Fractional coordinates of all 5 atoms:
As (0.0000, 0.0000, 0.0000)
Hg (0.0000, 0.5000, 0.0000)
Hg (0.0000, 0.0000, 0.5000)
Hg (0.5000, 0.0000, 0.0000)
Tc (0.5000, 0.5000, 0.5000)

The calculated density is 8.82 g cm⁻³. The value obtained for the volume is 145.92 Å³ per cell.

Which structure is most stable? version P, by 104 meV per atom over the runner-up.

Version P
A plane-wave DFT calculation with PBE was carried out for crystalline Tc2HgAs2 at its relaxed geometry.

Cell lengths 7.3088, 7.3088, 3.1205 Å; angles 90.00, 90.00, 90.00 degrees
Fractional coordinates of all 10 atoms:
As (0.1433, 0.6433, 0.5000)
As (0.6433, 0.8567, 0.5000)
As (0.8567, 0.3567, 0.5000)
As (0.3567, 0.1433, 0.5000)
Hg (0.0000, 0.0000, 0.0000)
Hg (0.5000, 0.5000, 0.0000)
Tc (0.3548, 0.8548, 0.0000)
Tc (0.8548, 0.6452, 0.0000)
Tc (0.6452, 0.1452, 0.0000)
Tc (0.1452, 0.3548, 0.0000)

The calculated density is 10.89 g cm⁻³. The value obtained for the volume is 166.69 Å³ per cell.

Version Q
A plane-wave DFT calculation with PBE was carried out for crystalline Tc2HgAs2 at its relaxed geometry.

Cell lengths 3.8766, 3.8766, 6.5066 Å; angles 72.67, 72.67, 90.00 degrees
Fractional coordinates of all 5 atoms:
As (0.7500, 0.2500, 0.5000)
As (0.2500, 0.7500, 0.5000)
Hg (0.0000, 0.0000, 0.0000)
Tc (0.3844, 0.3844, 0.2312)
Tc (0.6156, 0.6156, 0.7688)

The calculated density is 10.23 g cm⁻³. The value obtained for the volume is 88.68 Å³ per cell.

Which structure is most stable? version P, by 100 meV per atom over the runner-up.

Version P
A plane-wave DFT calculation with PBE was carried out for crystalline HgTe2As at its relaxed geometry.

Cell lengths 4.1795, 4.1795, 7.9443 Å; angles 74.75, 74.75, 60.00 degrees
Fractional coordinates of all 4 atoms:
Hg (0.4987, 0.4987, 0.5039)
Te (0.0734, 0.0734, 0.7799)
Te (0.2598, 0.2598, 0.2207)
As (0.6682, 0.6682, 0.9955)

The calculated density is 7.70 g cm⁻³. The value obtained for the volume is 114.50 Å³ per cell.

Version Q
A plane-wave DFT calculation with PBE was carried out for crystalline HgTe2As at its relaxed geometry.

Cell lengths 4.2685, 4.2685, 7.4983 Å; angles 75.11, 75.11, 59.73 degrees
Fractional coordinates of all 4 atoms:
As (0.7500, 0.7500, 0.7500)
Te (0.0149, 0.0149, 0.9779)
Te (0.4851, 0.4851, 0.5221)
Hg (0.2500, 0.2500, 0.2500)

The calculated density is 7.82 g cm⁻³. The value obtained for the volume is 112.69 Å³ per cell.

Which structure is most stable? version Q, by 31 meV per atom over the runner-up.

Version P
A plane-wave DFT calculation with PBE was carried out for crystalline HgTe2As at its relaxed geometry.

Cell lengths 4.2358, 4.3179, 6.3230 Å; angles 90.00, 90.00, 90.00 degrees
Fractional coordinates of all 4 atoms:
As (0.0000, 0.0000, 0.3452)
Te (0.0000, 0.0000, 0.9302)
Te (0.5000, 0.5000, 0.3782)
Hg (0.5000, 0.5000, 0.8465)

The calculated density is 7.62 g cm⁻³. The value obtained for the volume is 115.64 Å³ per cell.

Version Q
A plane-wave DFT calculation with PBE was carried out for crystalline HgTe2As at its relaxed geometry.

Cell lengths 7.4557, 7.4557, 7.4557 Å; angles 33.26, 33.26, 33.26 degrees
Fractional coordinates of all 4 atoms:
As (0.5006, 0.5006, 0.5006)
Te (0.0038, 0.0038, 0.0038)
Te (0.2409, 0.2409, 0.2409)
Hg (0.7547, 0.7547, 0.7547)

The calculated density is 7.94 g cm⁻³. The value obtained for the volume is 110.97 Å³ per cell.

Version R
A plane-wave DFT calculation with PBE was carried out for crystalline HgTe2As at its relaxed geometry.

Cell lengths 5.2540, 5.2540, 5.1892 Å; angles 71.16, 71.16, 110.42 degrees
Fractional coordinates of all 4 atoms:
As (0.5000, 0.0000, 0.5000)
Te (0.0000, 0.0000, 0.0000)
Te (0.5000, 0.5000, 0.0000)
Hg (0.0000, 0.5000, 0.5000)

The calculated density is 7.96 g cm⁻³. The value obtained for the volume is 110.68 Å³ per cell.

Version S
A plane-wave DFT calculation with PBE was carried out for crystalline HgTe2As at its relaxed geometry.

Cell lengths 6.6891, 6.6891, 6.6891 Å; angles 144.19, 139.80, 54.91 degrees
Fractional coordinates of all 4 atoms:
As (0.7500, 0.2500, 0.5000)
Te (0.9290, 0.9290, 0.0000)
Te (0.5710, 0.5710, 0.0000)
Hg (0.2500, 0.7500, 0.5000)

The calculated density is 7.85 g cm⁻³. The value obtained for the volume is 112.22 Å³ per cell.

Which structure is most stable? version P, by 71 meV per atom over the runner-up.

Version P
A plane-wave DFT calculation with PBE was carried out for crystalline HgTe2As at its relaxed geometry.

Cell lengths 11.4398, 11.4398, 11.4398 Å; angles 19.24, 19.24, 19.24 degrees
Fractional coordinates of all 4 atoms:
As (0.5000, 0.5000, 0.5000)
Te (0.8872, 0.8872, 0.8872)
Te (0.1128, 0.1128, 0.1128)
Hg (0.0000, 0.0000, 0.0000)

The calculated density is 6.20 g cm⁻³. The value obtained for the volume is 142.11 Å³ per cell.

Version Q
A plane-wave DFT calculation with PBE was carried out for crystalline HgTe2As at its relaxed geometry.

Cell lengths 3.3926, 3.3926, 10.0707 Å; angles 90.00, 90.00, 90.00 degrees
Fractional coordinates of all 4 atoms:
As (0.0000, 0.0000, 0.4647)
Te (0.0000, 0.0000, 0.9976)
Te (0.5000, 0.5000, 0.3162)
Hg (0.5000, 0.5000, 0.7216)

The calculated density is 7.60 g cm⁻³. The value obtained for the volume is 115.91 Å³ per cell.

Version R
A plane-wave DFT calculation with PBE was carried out for crystalline HgTe2As at its relaxed geometry.

Cell lengths 6.9847, 6.9847, 4.3891 Å; angles 88.91, 88.91, 35.35 degrees
Fractional coordinates of all 4 atoms:
As (0.5365, 0.5365, 0.6303)
Te (0.9877, 0.9877, 0.0074)
Te (0.7362, 0.7362, 0.6798)
Hg (0.2397, 0.2397, 0.1825)

The calculated density is 7.11 g cm⁻³. The value obtained for the volume is 123.86 Å³ per cell.

Which structure is most stable? version R, by 31 meV per atom over the runner-up.

Version P
A plane-wave DFT calculation with PBE was carried out for crystalline HgTe2As at its relaxed geometry.

Cell lengths 5.2383, 5.2383, 5.2383 Å; angles 60.00, 60.00, 60.00 degrees
Fractional coordinates of all 4 atoms:
As (0.0000, 0.0000, 0.0000)
Te (0.2500, 0.2500, 0.2500)
Te (0.7500, 0.7500, 0.7500)
Hg (0.5000, 0.5000, 0.5000)

The calculated density is 8.67 g cm⁻³. The value obtained for the volume is 101.64 Å³ per cell.

Version Q
A plane-wave DFT calculation with PBE was carried out for crystalline HgTe2As at its relaxed geometry.

Cell lengths 6.1295, 6.1295, 8.8257 Å; angles 69.68, 69.68, 90.00 degrees
Fractional coordinates of all 8 atoms:
As (0.5000, 0.5000, 0.0000)
As (0.2500, 0.7500, 0.5000)
Te (0.5988, 0.1250, 0.2500)
Te (0.1512, 0.6250, 0.2500)
Te (0.3750, 0.4012, 0.7500)
Te (0.8750, 0.8488, 0.7500)
Hg (0.0000, 0.0000, 0.0000)
Hg (0.7500, 0.2500, 0.5000)

The calculated density is 6.10 g cm⁻³. The value obtained for the volume is 288.85 Å³ per cell.

Version R
A plane-wave DFT calculation with PBE was carried out for crystalline HgTe2As at its relaxed geometry.

Cell lengths 4.2306, 3.0999, 9.4691 Å; angles 111.04, 90.00, 90.00 degrees
Fractional coordinates of all 4 atoms:
As (0.5000, 0.2500, 0.2500)
Te (0.0000, 0.0057, 0.0220)
Te (0.0000, 0.4943, 0.4780)
Hg (0.5000, 0.7500, 0.7500)

The calculated density is 7.60 g cm⁻³. The value obtained for the volume is 115.90 Å³ per cell.

Version S
A plane-wave DFT calculation with PBE was carried out for crystalline HgTe2As at its relaxed geometry.

Cell lengths 12.8018, 12.8018, 12.8018 Å; angles 14.48, 14.48, 14.48 degrees
Fractional coordinates of all 4 atoms:
As (0.0000, 0.0000, 0.0000)
Te (0.0763, 0.0763, 0.0763)
Te (0.9237, 0.9237, 0.9237)
Hg (0.5000, 0.5000, 0.5000)

The calculated density is 7.71 g cm⁻³. The value obtained for the volume is 114.23 Å³ per cell.

Which structure is most stable? version R, by 98 meV per atom over the runner-up.

Version P
A plane-wave DFT calculation with PBE was carried out for crystalline HgTeAs at its relaxed geometry.

Cell lengths 8.2647, 7.9050, 3.5457 Å; angles 83.08, 71.72, 25.21 degrees
Fractional coordinates of all 3 atoms:
As (0.0152, 0.0152, 0.9848)
Te (0.6433, 0.6433, 0.3567)
Hg (0.3415, 0.3415, 0.6585)

The calculated density is 7.81 g cm⁻³. The value obtained for the volume is 85.69 Å³ per cell.

Version Q
A plane-wave DFT calculation with PBE was carried out for crystalline HgTeAs at its relaxed geometry.

Cell lengths 5.2933, 5.2933, 3.1066 Å; angles 90.00, 90.00, 120.00 degrees
Fractional coordinates of all 3 atoms:
As (0.0000, 0.0000, 0.8320)
Te (0.6667, 0.3333, 0.8319)
Hg (0.3333, 0.6667, 0.3361)

The calculated density is 8.88 g cm⁻³. The value obtained for the volume is 75.38 Å³ per cell.

Version R
A plane-wave DFT calculation with PBE was carried out for crystalline HgTeAs at its relaxed geometry.

Cell lengths 7.5407, 7.5407, 7.5407 Å; angles 151.86, 151.86, 40.21 degrees
Fractional coordinates of all 3 atoms:
As (0.0386, 0.0386, 0.0000)
Te (0.6205, 0.6205, 0.0000)
Hg (0.3409, 0.3409, 0.0000)

The calculated density is 7.03 g cm⁻³. The value obtained for the volume is 95.16 Å³ per cell.

Version S
A plane-wave DFT calculation with PBE was carried out for crystalline HgTeAs at its relaxed geometry.

Cell lengths 4.0278, 4.0278, 5.6460 Å; angles 90.00, 90.00, 120.00 degrees
Fractional coordinates of all 3 atoms:
As (0.0000, 0.0000, 0.9970)
Te (0.3333, 0.6667, 0.6927)
Hg (0.6667, 0.3333, 0.3103)

The calculated density is 8.44 g cm⁻³. The value obtained for the volume is 79.32 Å³ per cell.

Which structure is most stable? version S, by 40 meV per atom over the runner-up.